# PuCdFe2O8 | Alexandria via LeMat-Bulk | GGA+U | relaxed
data_PuCdFe2O8
_chemical_formula_sum 'Pu1 Cd1 Fe2 O8'
_cell_length_a 5.9178
_cell_length_b 5.9178
_cell_length_c 5.9178
_cell_angle_alpha 108.47
_cell_angle_beta 108.47
_cell_angle_gamma 111.49
_symmetry_space_group_name_H-M 'P 1'
_symmetry_Int_Tables_number 1
loop_
_symmetry_equiv_pos_as_xyz
'x,y,z'
loop_
_atom_site_label
_atom_site_type_symbol
_atom_site_fract_x
_atom_site_fract_y
_atom_site_fract_z
Pu1 Pu 0.2500 0.7500 0.5000
Cd1 Cd 0.0000 0.0000 0.0000
Fe1 Fe 0.7500 0.2500 0.5000
Fe2 Fe 0.5000 0.5000 0.0000
O1 O 0.3803 0.0584 0.3219
O2 O 0.3141 0.5227 0.2085
O3 O 0.3141 0.1056 0.7915
O4 O 0.7365 0.0584 0.6781
O5 O 0.8944 0.6859 0.2085
O6 O 0.9416 0.2635 0.3219
O7 O 0.9416 0.6197 0.6781
O8 O 0.4773 0.6859 0.7915
# Fermi-level density of states = 0.40 states/eV per atom
# Total energy = -6.835 eV per atom
# Total moment = 6.5 μB per cell